[1]
Here is crystalline Ta2ZnGa3 at its relaxed geometry from the Alexandria database. Energies are from GGA-PBE.

As for the total energy: -5.486 eV per atom. Its crystal system is orthorhombic. The magnetization is 0.00 μB/f.u.

Lattice parameters (Å, degrees): 4.7640 5.3120 5.4879 118.95 115.72 90.00
Closest atoms and distances in Å follow each position.
Fractional positions:
1 Ta 0.6670 0.1670 0.3341  6 Ga 2.66-2.76, 1 Zn 2.78, 1 Ta 2.79
2 Ta 0.3330 0.8330 0.6659  6 Ga 2.66-2.76, 1 Zn 2.78, 1 Ta 2.79
3 Zn 0.0000 0.5000 0.0000  6 Ga 2.66-2.76, 2 Ta 2.78
4 Ga 0.3321 0.3321 0.6641  4 Ta 2.66-2.75, 2 Zn 2.76, 2 Ga 2.77-2.80
5 Ga 0.0000 0.0000 0.0000  2 Zn 2.66, 4 Ta 2.76, 2 Ga 2.77
6 Ga 0.6679 0.6679 0.3359  4 Ta 2.66-2.75, 2 Zn 2.76, 2 Ga 2.77-2.80

=====

[2]
Here is crystalline Ta2ZnGa2 at its relaxed geometry from the Alexandria database. Energies are from GGA-PBE.

Its relative energy among the computed polymorphs is 0.624 eV/f.u. Its crystal system is tetragonal. The magnetization is 0.00 μB/f.u.

Lattice parameters (Å, degrees): 7.0023 7.0023 3.6455 90.00 90.00 90.00
Closest atoms and distances in Å follow each position.
Fractional positions:
1 Zn 0.0000 0.0000 0.0000  4 Ta 2.72
2 Zn 0.5000 0.5000 0.0000  4 Ta 2.72
3 Ga 0.1658 0.6658 0.5000  6 Ta 2.68-2.80
4 Ga 0.6658 0.8342 0.5000  6 Ta 2.68-2.80
5 Ga 0.8342 0.3342 0.5000  6 Ta 2.68-2.80
6 Ga 0.3342 0.1658 0.5000  6 Ta 2.68-2.80
7 Ta 0.3638 0.8638 0.0000  6 Ga 2.68-2.80, 1 Ta 2.70, 2 Zn 2.72
8 Ta 0.8638 0.6362 0.0000  6 Ga 2.68-2.80, 1 Ta 2.70, 2 Zn 2.72
9 Ta 0.6362 0.1362 0.0000  6 Ga 2.68-2.80, 1 Ta 2.70, 2 Zn 2.72
10 Ta 0.1362 0.3638 0.0000  6 Ga 2.68-2.80, 1 Ta 2.70, 2 Zn 2.72

=====

[3]
Here is crystalline Ta2Zn2Ga at its relaxed geometry from the Alexandria database. Energies are from GGA-PBE.

Its relative energy among the computed polymorphs is 2.075 eV/f.u. Its crystal system is tetragonal. The magnetization is 0.00 μB/f.u.

Lattice parameters (Å, degrees): 3.9457 3.9457 6.6580 72.76 72.76 90.00
Closest atoms and distances in Å follow each position.
Fractional positions:
1 Zn 0.4040 0.4040 0.1920  1 Zn 2.32
2 Zn 0.5960 0.5960 0.8080  1 Zn 2.32
3 Ga 0.0000 0.0000 0.0000  8 Zn 3.02
4 Ta 0.7500 0.2500 0.5000  4 Zn 2.71, 4 Ta 2.79
5 Ta 0.2500 0.7500 0.5000  4 Zn 2.71, 4 Ta 2.79

=====

[4]
Here is crystalline Ta2ZnGa at its relaxed geometry from the Alexandria database. Energies are from GGA-PBE.

As for the total energy: -6.939 eV per atom. Its crystal system is trigonal. The magnetization is 0.00 μB/f.u.

Lattice parameters (Å, degrees): 2.9047 2.9047 9.4872 81.19 81.19 60.00
Closest atoms and distances in Å follow each position.
Fractional positions:
1 Ta 0.0829 0.0829 0.7513  3 Ga 2.86, 3 Zn 2.88, 6 Ta 2.90
2 Ta 0.2504 0.2504 0.2487  3 Ga 2.86, 3 Zn 2.89, 6 Ta 2.90
3 Zn 0.5000 0.5000 0.5001  6 Ta 2.88-2.89, 6 Zn 2.90
4 Ga 0.6667 0.6667 0.9999  6 Ta 2.86, 6 Ga 2.90

=====

[5]
Here is crystalline Ta2Zn2Ga at its relaxed geometry from the Alexandria database. Energies are from GGA-PBE.

Its relative energy among the computed polymorphs is 0.000 eV/f.u. Its crystal system is tetragonal. The magnetization is 0.00 μB/f.u.

Lattice parameters (Å, degrees): 6.3874 6.3874 3.9283 90.00 90.00 90.00
Closest atoms and distances in Å follow each position.
Fractional positions:
1 Zn 0.3703 0.8703 0.0000  1 Zn 2.34, 2 Ga 2.51
2 Zn 0.8703 0.6297 0.0000  1 Zn 2.34, 2 Ga 2.51
3 Zn 0.6297 0.1297 0.0000  1 Zn 2.34, 2 Ga 2.51
4 Zn 0.1297 0.3703 0.0000  1 Zn 2.34, 2 Ga 2.51
5 Ga 0.0000 0.0000 0.0000  4 Zn 2.51
6 Ga 0.5000 0.5000 0.0000  4 Zn 2.51
7 Ta 0.1740 0.6740 0.5000  6 Zn 2.65-2.77
8 Ta 0.6740 0.8260 0.5000  6 Zn 2.65-2.77
9 Ta 0.8260 0.3260 0.5000  6 Zn 2.65-2.77
10 Ta 0.3260 0.1740 0.5000  6 Zn 2.65-2.77

=====

[6]
Here is crystalline TaZn2Ga at its relaxed geometry from the Alexandria database. Energies are from GGA-PBE.

As for the total energy: -4.037 eV per atom. Its crystal system is trigonal. The magnetization is 0.00 μB/f.u.

Lattice parameters (Å, degrees): 4.0546 4.0546 5.0972 66.56 66.56 60.00
Closest atoms and distances in Å follow each position.
Fractional positions:
1 Zn 0.7290 0.7290 0.8129  3 Ga 2.49, 3 Ta 2.74
2 Zn 0.2710 0.2710 0.1871  3 Ga 2.49, 3 Ta 2.74
3 Ga 0.0000 0.0000 0.0000  6 Zn 2.49
4 Ta 0.5000 0.5000 0.5000  6 Zn 2.74

=====

[7]
Here is crystalline Ta3ZnGa at its relaxed geometry from the Alexandria database. Energies are from GGA-PBE.

Its relative energy among the computed polymorphs is 0.000 eV/f.u. Its crystal system is cubic. The magnetization is 0.00 μB/f.u.

Lattice parameters (Å, degrees): 4.6689 4.6689 4.6689 90.00 90.00 90.00
Closest atoms and distances in Å follow each position.
Fractional positions:
1 Zn 0.0000 0.0000 0.0000  6 Ta 2.33
2 Ga 0.5000 0.5000 0.5000  12 Ta 3.30
3 Ta 0.0000 0.5000 0.0000  2 Zn 2.33
4 Ta 0.0000 0.0000 0.5000  2 Zn 2.33
5 Ta 0.5000 0.0000 0.0000  2 Zn 2.33

=====

[8]
Here is crystalline TaZn2Ga at its relaxed geometry from the Alexandria database. Energies are from GGA-PBE.

As for the total energy: -4.084 eV per atom. Its crystal system is tetragonal. The magnetization is 0.00 μB/f.u.

Lattice parameters (Å, degrees): 7.1014 7.1014 5.6857 51.35 51.35 90.00
Closest atoms and distances in Å follow each position.
Fractional positions:
1 Zn 0.6022 0.1250 0.2500  2 Ga 2.49, 2 Zn 2.69, 2 Ta 2.71
2 Zn 0.1478 0.6250 0.2500  2 Ga 2.49, 2 Zn 2.69, 2 Ta 2.71
3 Zn 0.3750 0.3978 0.7500  2 Ga 2.49, 2 Zn 2.69, 2 Ta 2.71
4 Zn 0.8750 0.8522 0.7500  2 Ga 2.49, 2 Zn 2.69, 2 Ta 2.71
5 Ga 0.5000 0.5000 0.0000  4 Zn 2.49, 2 Ta 2.67
6 Ga 0.2500 0.7500 0.5000  4 Zn 2.49, 2 Ta 2.67
7 Ta 0.0000 0.0000 0.0000  2 Ga 2.67, 4 Zn 2.71
8 Ta 0.7500 0.2500 0.5000  2 Ga 2.67, 4 Zn 2.71